Crystalline SrMn2Fe at its relaxed geometry, computed with PBE.

Values from the calculation:
Energy = -6.39 eV/atom
SG = P4/mmm, No. 123
Formation energy = 2.916 eV per formula unit

Cell: 3.1836 3.1836 6.9179 Å, 90.00 90.00 90.00°
Fractional coordinates of all 4 atoms:
Mn: 0.0000 0.0000 0.6044
Mn: 0.0000 0.0000 0.8956
Fe: 0.5000 0.5000 0.7500
Sr: 0.5000 0.5000 0.2500

***

Crystalline Mn5Tc at its relaxed geometry, computed with PBE.

Values from the calculation:
Energy = -9.33 eV/atom
Energy above the most stable polymorph in this dataset = 0.0 meV per atom
SG = F-43m, No. 216
Formation energy = 0.213 eV per formula unit

Cell: 4.6407 4.6407 4.6407 Å, 60.00 60.00 60.00°
Fractional coordinates of all 6 atoms:
Mn: 0.7500 0.7500 0.7500
Mn: 0.3764 0.8707 0.3764
Mn: 0.3764 0.3764 0.3764
Mn: 0.8707 0.3764 0.3764
Tc: 0.0000 0.0000 0.0000
Mn: 0.3764 0.3764 0.8707

***

Among the records above, which one has the highest energy?
SrMn2Fe